P) ## Sc2TlP (PBE-GGA)

Data for crystalline Sc2TlP at its relaxed geometry.

Structure (POSCAR):
```
Sc2TlP
1.0
0.0000 3.4516 3.4516
3.4516 0.0000 3.4516
3.4516 3.4516 0.0000
Sc Tl P
2 1 1
direct
0.2500 0.2500 0.2500 Sc
0.7500 0.7500 0.7500 Sc
0.0000 0.0000 0.0000 Tl
0.5000 0.5000 0.5000 P
```

Computed properties:
**D(E_F)**: 6.83 states/eV/cell
**Theoretical density**: 6.568 g/cm³

Q) ## Sc2TlP (PBE-GGA)

Data for crystalline Sc2TlP at its relaxed geometry.

Structure (POSCAR):
```
Sc2TlP
1.0
-1.8879 2.7440 4.1568
1.8879 -2.7440 4.1568
1.8879 2.7440 -4.1568
Sc Tl P
2 1 1
direct
0.2134 0.2134 0.0000 Sc
0.7866 0.7866 0.0000 Sc
0.5000 0.0000 0.5000 Tl
0.0000 0.5000 0.5000 P
```

Computed properties:
**D(E_F)**: 3.08 states/eV/cell
**Theoretical density**: 6.271 g/cm³

How do the energies compare? Relative to the most stable structure, in meV per atom: P) 191; Q) 0.

P) ## Sc2TlP (PBE-GGA)

Data for crystalline Sc2TlP at its relaxed geometry.

Structure (POSCAR):
```
Sc2TlP
1.0
-1.7199 1.7410 7.6307
1.7199 -1.7410 7.6307
1.7199 1.7410 -7.6307
Sc Tl P
2 1 1
direct
0.0000 0.0000 0.0000 Sc
0.6971 0.1971 0.5000 Sc
0.3670 0.3670 0.0000 Tl
0.1292 0.6292 0.5000 P
```

Computed properties:
**D(E_F)**: 2.97 states/eV/cell
**Theoretical density**: 5.910 g/cm³

Q) ## Sc2TlP (PBE-GGA)

Data for crystalline Sc2TlP at its relaxed geometry.

Structure (POSCAR):
```
Sc2TlP
1.0
1.8214 1.0516 7.8013
-1.8214 1.0516 7.8013
0.0000 -2.1031 7.8013
Sc Tl P
2 1 1
direct
0.0000 0.0000 0.0000 Sc
0.2074 0.2074 0.2074 Sc
0.4367 0.4367 0.4367 Tl
0.6047 0.6047 0.6047 P
```

Computed properties:
**D(E_F)**: 3.21 states/eV/cell
**Theoretical density**: 6.025 g/cm³

R) ## Sc2TlP (PBE-GGA)

Data for crystalline Sc2TlP at its relaxed geometry.

Structure (POSCAR):
```
Sc2TlP
1.0
3.1737 -1.8353 0.0000
3.1737 1.8353 0.0000
-2.1394 0.0000 7.6138
Sc Tl P
2 1 1
direct
0.2322 0.2322 0.1941 Sc
0.7678 0.7678 0.8059 Sc
0.0000 0.0000 0.5000 Tl
0.5000 0.5000 0.0000 P
```

Computed properties:
**D(E_F)**: 2.41 states/eV/cell
**Theoretical density**: 6.090 g/cm³

S) ## Sc2TlP (PBE-GGA)

Data for crystalline Sc2TlP at its relaxed geometry.

Structure (POSCAR):
```
Sc2TlP
1.0
0.0000 3.5180 3.5180
3.5180 0.0000 3.5180
3.5180 3.5180 0.0000
Sc Tl P
2 1 1
direct
0.0000 0.0000 0.0000 Sc
0.2500 0.2500 0.2500 Sc
0.5000 0.5000 0.5000 Tl
0.7500 0.7500 0.7500 P
```

Computed properties:
**D(E_F)**: 6.24 states/eV/cell
**Theoretical density**: 6.203 g/cm³

How do the energies compare? Relative to the most stable structure, in meV per atom: P) 255; Q) 40; R) 0; S) 1037.

P) ## ScTlP2 (PBE-GGA)

Data for crystalline ScTlP2 at its relaxed geometry.

Structure (POSCAR):
```
ScTlP2
1.0
4.5476 -1.6577 0.0000
4.5476 1.6577 0.0000
-1.1426 0.0000 5.8897
Sc Tl P
1 1 2
direct
0.0000 0.0000 0.0000 Sc
0.5000 0.5000 0.5000 Tl
0.2679 0.2679 0.8712 P
0.7321 0.7321 0.1288 P
```

Computed properties:
**D(E_F)**: 3.03 states/eV/cell
**Theoretical density**: 5.821 g/cm³

Q) ## ScTlP2 (PBE-GGA)

Data for crystalline ScTlP2 at its relaxed geometry.

Structure (POSCAR):
```
ScTlP2
1.0
0.0000 3.4151 3.4151
3.4151 0.0000 3.4151
3.4151 3.4151 0.0000
Sc Tl P
1 1 2
direct
0.0000 0.0000 0.0000 Sc
0.7500 0.7500 0.7500 Tl
0.2500 0.2500 0.2500 P
0.5000 0.5000 0.5000 P
```

Computed properties:
**D(E_F)**: 3.34 states/eV/cell
**Theoretical density**: 6.489 g/cm³

R) ## ScTlP2 (PBE-GGA)

Data for crystalline ScTlP2 at its relaxed geometry.

Structure (POSCAR):
```
ScTlP2
1.0
-3.0103 3.0103 6.0267
3.0103 -3.0103 6.0267
3.0103 3.0103 -6.0267
Sc Tl P
2 2 4
direct
0.0000 0.0000 0.0000 Sc
0.7500 0.2500 0.5000 Sc
0.2500 0.7500 0.5000 Tl
0.5000 0.5000 0.0000 Tl
0.1135 0.6250 0.9885 P
0.3750 0.3635 0.4885 P
0.6365 0.1250 0.0115 P
0.8750 0.8865 0.5115 P
```

Computed properties:
**D(E_F)**: 0.00 states/eV/cell
**Theoretical density**: 4.732 g/cm³

S) ## ScTlP2 (PBE-GGA)

Data for crystalline ScTlP2 at its relaxed geometry.

Structure (POSCAR):
```
ScTlP2
1.0
-1.8031 1.9238 6.4383
1.8031 -1.9238 6.4383
1.8031 1.9238 -6.4383
Sc Tl P
1 1 2
direct
0.0000 0.0000 0.0000 Sc
0.7282 0.2282 0.5000 Tl
0.3605 0.8605 0.5000 P
0.5063 0.5063 0.0000 P
```

Computed properties:
**D(E_F)**: 1.76 states/eV/cell
**Theoretical density**: 5.786 g/cm³

How do the energies compare? Relative to the most stable structure, in meV per atom: P) 10; Q) 557; R) 25; S) 0.

P) ## Sc2Tl2P (PBE-GGA)

Data for crystalline Sc2Tl2P at its relaxed geometry.

Structure (POSCAR):
```
Sc2Tl2P
1.0
6.9185 0.0000 0.0000
0.0000 6.9185 0.0000
0.0000 0.0000 4.9223
Sc Tl P
4 4 2
direct
0.1691 0.3309 0.0000 Sc
0.3309 0.8309 0.0000 Sc
0.6691 0.1691 0.0000 Sc
0.8309 0.6691 0.0000 Sc
0.1545 0.6545 0.5000 Tl
0.3455 0.1545 0.5000 Tl
0.6545 0.8455 0.5000 Tl
0.8455 0.3455 0.5000 Tl
0.0000 0.0000 0.0000 P
0.5000 0.5000 0.0000 P
```

Computed properties:
**D(E_F)**: 8.87 states/eV/cell
**Theoretical density**: 7.466 g/cm³

Q) ## Sc2Tl2P (PBE-GGA)

Data for crystalline Sc2Tl2P at its relaxed geometry.

Structure (POSCAR):
```
Sc2Tl2P
1.0
3.1320 -1.8480 0.0000
3.1320 1.8480 0.0000
-2.9505 0.0000 10.5016
Sc Tl P
2 2 1
direct
0.2280 0.2280 0.1365 Sc
0.7720 0.7720 0.8635 Sc
0.0033 0.0033 0.6359 Tl
0.9967 0.9967 0.3641 Tl
0.5000 0.5000 0.0000 P
```

Computed properties:
**D(E_F)**: 2.96 states/eV/cell
**Theoretical density**: 7.235 g/cm³

How do the energies compare? Relative to the most stable structure, in meV per atom: P) 171; Q) 0.

P) ## Sc2TlP2 (PBE-GGA)

Data for crystalline Sc2TlP2 at its relaxed geometry.

Structure (POSCAR):
```
Sc2TlP2
1.0
-1.7654 1.7654 7.9049
1.7654 -1.7654 7.9049
1.7654 1.7654 -7.9049
Sc Tl P
2 1 2
direct
0.1234 0.1234 0.0000 Sc
0.8766 0.8766 0.0000 Sc
0.5000 0.5000 0.0000 Tl
0.2500 0.7500 0.5000 P
0.7500 0.2500 0.5000 P
```

Computed properties:
**D(E_F)**: 3.56 states/eV/cell
**Theoretical density**: 6.003 g/cm³

Q) ## Sc2TlP2 (PBE-GGA)

Data for crystalline Sc2TlP2 at its relaxed geometry.

Structure (POSCAR):
```
Sc2TlP2
1.0
7.5403 0.0000 0.0000
0.0000 7.5403 0.0000
0.0000 0.0000 3.4625
Sc Tl P
4 2 4
direct
0.1424 0.3576 0.0000 Sc
0.3576 0.8576 0.0000 Sc
0.6424 0.1424 0.0000 Sc
0.8576 0.6424 0.0000 Sc
0.0000 0.0000 0.0000 Tl
0.5000 0.5000 0.0000 Tl
0.1567 0.6567 0.5000 P
0.3433 0.1567 0.5000 P
0.6567 0.8433 0.5000 P
0.8433 0.3433 0.5000 P
```

Computed properties:
**D(E_F)**: 8.01 states/eV/cell
**Theoretical density**: 6.010 g/cm³

How do the energies compare? Relative to the most stable structure, in meV per atom: P) 45; Q) 0.

P) ## TmSc2P (PBE-GGA)

Data for crystalline TmSc2P at its relaxed geometry.

Structure (POSCAR):
```
TmSc2P
1.0
1.7969 1.0374 8.7440
-1.7969 1.0374 8.7440
0.0000 -2.0749 8.7440
Tm Sc P
1 2 1
direct
0.0000 0.0000 0.0000 Tm
0.2242 0.2242 0.2242 Sc
0.7758 0.7758 0.7758 Sc
0.5000 0.5000 0.5000 P
```

Computed properties:
**D(E_F)**: 5.09 states/eV/cell
**Theoretical density**: 4.921 g/cm³

Q) ## TmSc2P (PBE-GGA)

Data for crystalline TmSc2P at its relaxed geometry.

Structure (POSCAR):
```
TmSc2P
1.0
7.0129 0.0000 0.0000
0.0000 8.5662 0.0000
0.0000 0.0000 5.7868
Tm Sc P
4 8 4
direct
0.0228 0.2500 0.1285 Tm
0.4772 0.7500 0.6285 Tm
0.5228 0.2500 0.3715 Tm
0.9772 0.7500 0.8715 Tm
0.1769 0.0510 0.6408 Sc
0.1769 0.4490 0.6408 Sc
0.3231 0.5510 0.1408 Sc
0.3231 0.9490 0.1408 Sc
0.6769 0.0510 0.8592 Sc
0.6769 0.4490 0.8592 Sc
0.8231 0.5510 0.3592 Sc
0.8231 0.9490 0.3592 Sc
0.1199 0.7500 0.4090 P
0.3801 0.2500 0.9090 P
0.6199 0.7500 0.0910 P
0.8801 0.2500 0.5910 P
```

Computed properties:
**D(E_F)**: 16.40 states/eV/cell
**Theoretical density**: 5.538 g/cm³

How do the energies compare? Relative to the most stable structure, in meV per atom: P) 152; Q) 0.

P) ## TmScP2 (PBE-GGA)

Data for crystalline TmScP2 at its relaxed geometry.

Structure (POSCAR):
```
TmScP2
1.0
1.9148 1.1055 6.5291
-1.9148 1.1055 6.5291
0.0000 -2.2111 6.5291
Tm Sc P
1 1 2
direct
0.0000 0.0000 0.0000 Tm
0.8285 0.8285 0.8285 Sc
0.4165 0.4165 0.4165 P
0.5782 0.5782 0.5782 P
```

Computed properties:
**D(E_F)**: 0.37 states/eV/cell
**Theoretical density**: 5.523 g/cm³

Q) ## TmScP2 (PBE-GGA)

Data for crystalline TmScP2 at its relaxed geometry.

Structure (POSCAR):
```
TmScP2
1.0
1.9285 1.1134 6.2815
-1.9285 1.1134 6.2815
0.0000 -2.2269 6.2815
Tm Sc P
1 1 2
direct
0.0000 0.0000 0.0000 Tm
0.5000 0.5000 0.5000 Sc
0.2461 0.2461 0.2461 P
0.7539 0.7539 0.7539 P
```

Computed properties:
**D(E_F)**: 0.55 states/eV/cell
**Theoretical density**: 5.660 g/cm³

R) ## TmScP2 (PBE-GGA)

Data for crystalline TmScP2 at its relaxed geometry.

Structure (POSCAR):
```
TmScP2
1.0
-2.7300 2.7300 5.4430
2.7300 -2.7300 5.4430
2.7300 2.7300 -5.4430
Tm Sc P
2 2 4
direct
0.3750 0.6250 0.7500 Tm
0.6250 0.3750 0.2500 Tm
0.1250 0.8750 0.2500 Sc
0.8750 0.1250 0.7500 Sc
0.1203 0.3703 0.7500 P
0.3703 0.1203 0.2500 P
0.6297 0.8797 0.7500 P
0.8797 0.6297 0.2500 P
```

Computed properties:
**D(E_F)**: 1.03 states/eV/cell
**Theoretical density**: 5.645 g/cm³

How do the energies compare? Relative to the most stable structure, in meV per atom: P) 162; Q) 0; R) 8.

P) ## ScV3P (PBE-GGA)

Data for crystalline ScV3P at its relaxed geometry.

Structure (POSCAR):
```
ScV3P
1.0
4.4019 0.0000 0.0000
0.0000 4.4019 0.0000
0.0000 0.0000 4.4019
Sc V P
1 3 1
direct
0.0000 0.0000 0.0000 Sc
0.0000 0.0000 0.5000 V
0.0000 0.5000 0.0000 V
0.5000 0.0000 0.0000 V
0.5000 0.5000 0.5000 P
```

Computed properties:
**D(E_F)**: 7.11 states/eV/cell
**Theoretical density**: 4.453 g/cm³

Q) ## ScV3P (PBE-GGA)

Data for crystalline ScV3P at its relaxed geometry.

Structure (POSCAR):
```
ScV3P
1.0
4.4022 0.0000 0.0000
0.0000 4.4022 0.0000
0.0000 0.0000 4.4022
Sc V P
1 3 1
direct
0.0000 0.0000 0.0000 Sc
0.0000 0.5000 0.5000 V
0.5000 0.0000 0.5000 V
0.5000 0.5000 0.0000 V
0.5000 0.5000 0.5000 P
```

Computed properties:
**D(E_F)**: 7.53 states/eV/cell
**Theoretical density**: 4.452 g/cm³

How do the energies compare? Relative to the most stable structure, in meV per atom: P) 1684; Q) 0.

P) ## ScV2P2 (PBE-GGA)

Data for crystalline ScV2P2 at its relaxed geometry.

Structure (POSCAR):
```
ScV2P2
1.0
6.7324 0.0000 0.0000
0.0000 6.7324 0.0000
0.0000 0.0000 3.1321
Sc V P
2 4 4
direct
0.0000 0.0000 0.0000 Sc
0.5000 0.5000 0.0000 Sc
0.1442 0.3558 0.5000 V
0.3558 0.8558 0.5000 V
0.6442 0.1442 0.5000 V
0.8558 0.6442 0.5000 V
0.1414 0.6414 0.0000 P
0.3586 0.1414 0.0000 P
0.6414 0.8586 0.0000 P
0.8586 0.3586 0.0000 P
```

Computed properties:
**D(E_F)**: 8.11 states/eV/cell
**Theoretical density**: 4.884 g/cm³

Q) ## ScV2P2 (PBE-GGA)

Data for crystalline ScV2P2 at its relaxed geometry.

Structure (POSCAR):
```
ScV2P2
1.0
-2.2437 2.2437 3.8582
2.2437 -2.2437 3.8582
2.2437 2.2437 -3.8582
Sc V P
1 2 2
direct
0.0000 0.0000 0.0000 Sc
0.3704 0.3704 0.0000 V
0.6296 0.6296 0.0000 V
0.2500 0.7500 0.5000 P
0.7500 0.2500 0.5000 P
```

Computed properties:
**D(E_F)**: 3.14 states/eV/cell
**Theoretical density**: 4.463 g/cm³

How do the energies compare? Relative to the most stable structure, in meV per atom: P) 0; Q) 244.

P) ## Sc3VP (PBE-GGA)

Data for crystalline Sc3VP at its relaxed geometry.

Structure (POSCAR):
```
Sc3VP
1.0
4.9048 0.0000 0.0000
0.0000 4.9048 0.0000
0.0000 0.0000 4.9048
Sc V P
3 1 1
direct
0.0000 0.0000 0.5000 Sc
0.0000 0.5000 0.0000 Sc
0.5000 0.0000 0.0000 Sc
0.5000 0.5000 0.5000 V
0.0000 0.0000 0.0000 P
```

Computed properties:
**D(E_F)**: 6.93 states/eV/cell
**Theoretical density**: 3.051 g/cm³

Q) ## Sc3VP (PBE-GGA)

Data for crystalline Sc3VP at its relaxed geometry.

Structure (POSCAR):
```
Sc3VP
1.0
4.7788 0.0000 0.0000
0.0000 4.7788 0.0000
0.0000 0.0000 4.7788
Sc V P
3 1 1
direct
0.0000 0.0000 0.5000 Sc
0.0000 0.5000 0.0000 Sc
0.5000 0.0000 0.0000 Sc
0.0000 0.0000 0.0000 V
0.5000 0.5000 0.5000 P
```

Computed properties:
**D(E_F)**: 4.19 states/eV/cell
**Theoretical density**: 3.299 g/cm³

How do the energies compare? Relative to the most stable structure, in meV per atom: P) 0; Q) 595.

P) ## ScP2W (PBE-GGA)

Data for crystalline ScP2W at its relaxed geometry.

Structure (POSCAR):
```
ScP2W
1.0
3.3505 0.0000 0.0000
0.0000 4.6284 0.0000
-1.6683 0.0000 4.4186
Sc P W
1 2 1
direct
0.0000 0.0000 0.0000 Sc
0.4179 0.5000 0.8376 P
0.7151 0.0000 0.4333 P
0.7097 0.5000 0.4190 W
```

Computed properties:
**D(E_F)**: 2.13 states/eV/cell
**Theoretical density**: 7.046 g/cm³

Q) ## ScP2W (PBE-GGA)

Data for crystalline ScP2W at its relaxed geometry.

Structure (POSCAR):
```
ScP2W
1.0
1.7584 1.0152 6.1854
-1.7584 1.0152 6.1854
0.0000 -2.0304 6.1854
Sc P W
1 2 1
direct
0.0000 0.0000 0.0000 Sc
0.4264 0.4264 0.4264 P
0.5814 0.5814 0.5814 P
0.1738 0.1738 0.1738 W
```

Computed properties:
**D(E_F)**: 3.51 states/eV/cell
**Theoretical density**: 7.288 g/cm³

How do the energies compare? Relative to the most stable structure, in meV per atom: P) 182; Q) 0.